The following is a meta-GGA SCAN calculation of a crystal of RbTaTe2N relaxed with PBEsol, from Alexandria via LeMat-Bulk.

a b c (Å): 5.7257 5.7257 3.9201
angles (deg): 90.00 90.00 90.00
With the nearest neighbours (Å) after each atom.
Positions (direct):
Rb 0.0000 0.0000 0.0000  8 Te 3.47
Ta 0.5000 0.5000 0.5000  2 N 1.96
Te 0.0000 0.5000 0.5000  2 Ta 2.86
Te 0.5000 0.0000 0.5000  2 Ta 2.86
N 0.5000 0.5000 0.0000  2 Ta 1.96

The calculation puts the uncorrected formation energy at -1.62 eV per formula unit.